## Sr2VB (PBE)

Data for crystalline Sr2VB at its relaxed geometry.

Summary:
The formation energy from the elements comes out at 0.566 eV/atom. As for the energy: -4.22 eV per atom. The total magnetization comes out at 3.59 μB per formula unit. Its density of states at the Fermi level is 3.8 states/eV/f.u.

Geometry as CIF:
```
data_Sr2VB
_cell_length_a 11.031
_cell_length_b 11.031
_cell_length_c 8.084
_cell_angle_alpha 46.98
_cell_angle_beta 46.98
_cell_angle_gamma 90.00
_space_group_name_H-M_alt 'P 1'
_space_group_IT_number 1
loop_
_space_group_symop_operation_xyz
'x,y,z'
loop_
_atom_site_label
_atom_site_type_symbol
_atom_site_fract_x
_atom_site_fract_y
_atom_site_fract_z
Sr1 Sr 0.444 0.125 0.250
Sr2 Sr 0.306 0.625 0.250
Sr3 Sr 0.375 0.556 0.750
Sr4 Sr 0.875 0.694 0.750
B1 B 0.500 0.500 0.000
B2 B 0.250 0.750 0.500
V1 V 0.000 0.000 0.000
V2 V 0.750 0.250 0.500
```

## SrV3B (PBE)

Data for crystalline SrV3B at its relaxed geometry.

Summary:
The formation energy from the elements comes out at 3.196 eV/atom. As for the energy: -3.95 eV per atom. The total magnetization comes out at 0.00 μB per formula unit. Its density of states at the Fermi level is 6.0 states/eV/f.u.

Geometry as CIF:
```
data_SrV3B
_cell_length_a 4.448
_cell_length_b 4.448
_cell_length_c 4.448
_cell_angle_alpha 90.00
_cell_angle_beta 90.00
_cell_angle_gamma 90.00
_space_group_name_H-M_alt 'P 1'
_space_group_IT_number 1
loop_
_space_group_symop_operation_xyz
'x,y,z'
loop_
_atom_site_label
_atom_site_type_symbol
_atom_site_fract_x
_atom_site_fract_y
_atom_site_fract_z
Sr1 Sr 0.000 0.000 0.000
B1 B 0.500 0.500 0.500
V1 V 0.000 0.500 0.000
V2 V 0.000 0.000 0.500
V3 V 0.500 0.000 0.000
```

## SrB14W (PBE)

Data for crystalline SrB14W at its relaxed geometry.

Summary:
The formation energy from the elements comes out at -0.060 eV/atom. As for the energy: -6.82 eV per atom. The total magnetization comes out at 0.00 μB per formula unit. Its density of states at the Fermi level is 2.8 states/eV/f.u.

Geometry as CIF:
```
data_SrB14W
_cell_length_a 5.882
_cell_length_b 7.496
_cell_length_c 7.496
_cell_angle_alpha 67.57
_cell_angle_beta 66.90
_cell_angle_gamma 66.90
_space_group_name_H-M_alt 'P 1'
_space_group_IT_number 1
loop_
_space_group_symop_operation_xyz
'x,y,z'
loop_
_atom_site_label
_atom_site_type_symbol
_atom_site_fract_x
_atom_site_fract_y
_atom_site_fract_z
Sr1 Sr 0.250 0.385 0.115
Sr2 Sr 0.750 0.615 0.885
B1 B 0.666 0.365 0.302
B2 B 0.334 0.635 0.698
B3 B 0.166 0.802 0.865
B4 B 0.834 0.198 0.135
B5 B 0.121 0.249 0.509
B6 B 0.879 0.751 0.491
B7 B 0.621 0.009 0.749
B8 B 0.379 0.991 0.251
B9 B 0.081 0.086 0.751
B10 B 0.919 0.914 0.249
B11 B 0.581 0.251 0.586
B12 B 0.419 0.749 0.414
B13 B 0.721 0.600 0.279
B14 B 0.600 0.400 0.721
B15 B 0.221 0.779 0.100
B16 B 0.100 0.221 0.900
B17 B 0.279 0.400 0.721
B18 B 0.400 0.600 0.279
B19 B 0.779 0.221 0.900
B20 B 0.900 0.779 0.100
B21 B 0.324 0.971 0.874
B22 B 0.169 0.029 0.126
B23 B 0.824 0.374 0.471
B24 B 0.669 0.626 0.529
B25 B 0.676 0.029 0.126
B26 B 0.831 0.971 0.874
B27 B 0.176 0.626 0.529
B28 B 0.331 0.374 0.471
W1 W 0.500 0.000 0.500
W2 W 0.000 0.000 0.500
```

## SrBW2 (PBE)

Data for crystalline SrBW2 at its relaxed geometry.

Summary:
The formation energy from the elements comes out at 1.237 eV/atom. As for the energy: -7.33 eV per atom. The total magnetization comes out at 0.00 μB per formula unit. Its density of states at the Fermi level is 0.9 states/eV/f.u.

Geometry as CIF:
```
data_SrBW2
_cell_length_a 6.453
_cell_length_b 6.453
_cell_length_c 6.452
_cell_angle_alpha 59.99
_cell_angle_beta 59.99
_cell_angle_gamma 90.00
_space_group_name_H-M_alt 'P 1'
_space_group_IT_number 1
loop_
_space_group_symop_operation_xyz
'x,y,z'
loop_
_atom_site_label
_atom_site_type_symbol
_atom_site_fract_x
_atom_site_fract_y
_atom_site_fract_z
Sr1 Sr 0.000 0.000 0.000
Sr2 Sr 0.750 0.250 0.500
B1 B 0.500 0.500 0.000
B2 B 0.250 0.750 0.500
W1 W 0.375 0.125 0.250
W2 W 0.375 0.625 0.250
W3 W 0.375 0.625 0.750
W4 W 0.875 0.625 0.750
```

## SrYB2 (PBE)

Data for crystalline SrYB2 at its relaxed geometry.

Summary:
The formation energy from the elements comes out at 0.930 eV/atom. As for the energy: -4.45 eV per atom. The total magnetization comes out at 0.00 μB per formula unit. Its density of states at the Fermi level is 5.1 states/eV/f.u. The calculation puts the energy above the most stable polymorph in this dataset at 254 meV/atom.

Geometry as CIF:
```
data_SrYB2
_cell_length_a 7.097
_cell_length_b 7.097
_cell_length_c 6.232
_cell_angle_alpha 55.29
_cell_angle_beta 55.29
_cell_angle_gamma 90.00
_space_group_name_H-M_alt 'P 1'
_space_group_IT_number 1
loop_
_space_group_symop_operation_xyz
'x,y,z'
loop_
_atom_site_label
_atom_site_type_symbol
_atom_site_fract_x
_atom_site_fract_y
_atom_site_fract_z
Y1 Y 0.000 0.000 0.000
Y2 Y 0.750 0.250 0.500
Sr1 Sr 0.500 0.500 0.000
Sr2 Sr 0.250 0.750 0.500
B1 B 0.662 0.125 0.250
B2 B 0.088 0.625 0.250
B3 B 0.375 0.338 0.750
B4 B 0.875 0.912 0.750
```

## Sr3YB (PBE)

Data for crystalline Sr3YB at its relaxed geometry.

Summary:
The formation energy from the elements comes out at 1.707 eV/atom. As for the energy: -1.93 eV per atom. The total magnetization comes out at 2.25 μB per formula unit. Its density of states at the Fermi level is 4.6 states/eV/f.u. The calculation puts the energy above the most stable polymorph in this dataset at 1173 meV/atom.

Geometry as CIF:
```
data_Sr3YB
_cell_length_a 6.485
_cell_length_b 6.485
_cell_length_c 6.485
_cell_angle_alpha 90.00
_cell_angle_beta 90.00
_cell_angle_gamma 90.00
_space_group_name_H-M_alt 'P 1'
_space_group_IT_number 1
loop_
_space_group_symop_operation_xyz
'x,y,z'
loop_
_atom_site_label
_atom_site_type_symbol
_atom_site_fract_x
_atom_site_fract_y
_atom_site_fract_z
Y1 Y 0.000 0.000 0.000
Sr1 Sr 0.000 0.500 0.000
Sr2 Sr 0.000 0.000 0.500
Sr3 Sr 0.500 0.000 0.000
B1 B 0.500 0.500 0.500
```

Question: Which value of formation energy from the elements does entry 3 give?
Answer: -0.060 eV/atom

What did the second record say?
## SrV3B (PBE)

Data for crystalline SrV3B at its relaxed geometry.

Summary:
The formation energy from the elements comes out at 3.196 eV/atom. As for the energy: -3.95 eV per atom. The total magnetization comes out at 0.00 μB per formula unit. Its density of states at the Fermi level is 6.0 states/eV/f.u.

Geometry as CIF:
```
data_SrV3B
_cell_length_a 4.448
_cell_length_b 4.448
_cell_length_c 4.448
_cell_angle_alpha 90.00
_cell_angle_beta 90.00
_cell_angle_gamma 90.00
_space_group_name_H-M_alt 'P 1'
_space_group_IT_number 1
loop_
_space_group_symop_operation_xyz
'x,y,z'
loop_
_atom_site_label
_atom_site_type_symbol
_atom_site_fract_x
_atom_site_fract_y
_atom_site_fract_z
Sr1 Sr 0.000 0.000 0.000
B1 B 0.500 0.500 0.500
V1 V 0.000 0.500 0.000
V2 V 0.000 0.000 0.500
V3 V 0.500 0.000 0.000
```

Question: Among the records above, which one has the highest formation energy from the elements?
Answer: SrV3B

Question: Which of these has the highest formation energy from the elements?
Answer: SrV3B